(1)
Computed, not measured: a relaxed LiFeOF crystal at the PBEsol level of DFT.

* raw total energy: -6.309 eV/atom
* magnetic moment: 0.912 μB/atom
* symmetry: P4/mmm, No. 123

Unit cell a=2.836 b=2.836 c=4.593 alpha=90.00 beta=90.00 gamma=90.04
Last column: magnetic moment on the atom in μB.
Sites, in units of the cell vectors:
F 0.000 0.000 0.000  0.00
Fe 0.000 0.000 0.500  3.30
O 0.500 0.500 0.500  0.19
Li 0.500 0.500 0.000  0.05


(2)
Computed, not measured: a relaxed LiFeOF2 crystal at the PBEsol level of DFT.

* raw total energy: -6.074 eV/atom
* magnetic moment: 0.494 μB/atom
* symmetry: P6_3/mmc, No. 194

Unit cell a=3.164 b=3.164 c=11.492 alpha=90.00 beta=90.00 gamma=120.00
Last column: magnetic moment on the atom in μB.
Sites, in units of the cell vectors:
Li 0.000 0.000 0.500  0.00
Li 0.000 0.000 0.000  0.00
Fe 0.667 0.333 0.750  2.21
Fe 0.333 0.667 0.250  2.21
O 0.000 0.000 0.250  0.16
O 0.000 0.000 0.750  0.16
F 0.667 0.333 0.914  0.01
F 0.667 0.333 0.586  0.01
F 0.333 0.667 0.086  0.01
F 0.333 0.667 0.414  0.01


(3)
Computed, not measured: a relaxed Li9Fe3O2F14 crystal at the PBEsol level of DFT.

* raw total energy: -5.411 eV/atom
* magnetic moment: 0.188 μB/atom
* symmetry: P-1, No. 2

Unit cell a=5.730 b=5.816 c=10.009 alpha=90.59 beta=105.23 gamma=120.83
Last column: magnetic moment on the atom in μB.
Sites, in units of the cell vectors:
Li 0.986 0.234 0.740  0.00
Li 0.000 0.500 0.000  0.00
Li 0.636 0.591 0.686  0.00
Li 0.364 0.409 0.314  0.00
Li 0.378 0.916 0.805  0.00
Li 0.622 0.084 0.195  0.00
Li 0.500 0.000 0.500  0.00
Li 0.014 0.766 0.260  0.00
Li 0.000 0.000 0.500  0.00
Fe 0.500 0.500 0.000  2.72
Fe 0.000 0.000 0.000  2.71
Fe 0.000 0.500 0.500  -0.79
O 0.246 0.345 0.098  0.10
O 0.754 0.655 0.902  0.10
F 0.246 0.124 0.861  0.10
F 0.748 0.402 0.118  0.02
F 0.223 0.873 0.116  0.02
F 0.777 0.127 0.884  0.02
F 0.252 0.598 0.882  0.02
F 0.754 0.876 0.139  0.10
F 0.774 0.384 0.620  -0.01
F 0.772 0.152 0.390  -0.01
F 0.226 0.387 0.613  -0.01
F 0.754 0.904 0.616  0.00
F 0.246 0.096 0.384  0.00
F 0.774 0.613 0.387  -0.01
F 0.228 0.848 0.610  -0.01
F 0.226 0.616 0.380  -0.01


(4)
Computed, not measured: a relaxed Li6FeO5F crystal at the PBEsol level of DFT.

* raw total energy: -5.632 eV/atom
* magnetic moment: 0.235 μB/atom
* symmetry: P1, No. 1

Unit cell a=5.368 b=5.387 c=5.404 alpha=63.14 beta=63.52 gamma=62.51
Last column: magnetic moment on the atom in μB.
Sites, in units of the cell vectors:
Li 0.714 0.481 0.062  0.00
Li 0.506 0.081 0.742  0.00
Li 0.919 0.304 0.511  0.00
Li 0.077 0.708 0.477  0.00
Li 0.512 0.921 0.271  0.00
Li 0.274 0.490 0.929  0.00
Fe 0.027 0.988 0.965  2.23
O 0.350 0.804 0.090  0.11
O 0.910 0.665 0.204  0.13
O 0.202 0.891 0.647  0.11
O 0.105 0.338 0.791  0.10
O 0.660 0.208 0.915  0.12
F 0.781 0.120 0.379  0.01